No. 1
A plane-wave DFT calculation with GGA-PBE was carried out for Li5HoIn6 after structural relaxation.

Cell and atoms, written as CIF:
```
data_Li5HoIn6
_cell_length_a 4.7546
_cell_length_b 7.5883
_cell_length_c 7.3662
_cell_angle_alpha 90.00
_cell_angle_beta 90.00
_cell_angle_gamma 71.86
_space_group_name_H-M_alt 'P 1'
_space_group_IT_number 1
_space_group_name_Hall 'P 1'
loop_
_atom_site_label
_atom_site_type_symbol
_atom_site_fract_x
_atom_site_fract_y
_atom_site_fract_z
Li1 Li 0.6712 0.6572 0.5000
Li2 Li 0.3318 0.3369 0.0000
Li3 Li 0.0000 0.0000 0.5000
Li4 Li 0.6682 0.6631 0.0000
Li5 Li 0.3288 0.3428 0.5000
Ho1 Ho 0.0000 0.0000 0.0000
In1 In 0.8276 0.3434 0.2606
In2 In 0.8276 0.3434 0.7394
In3 In 0.5000 0.0000 0.7197
In4 In 0.5000 0.0000 0.2803
In5 In 0.1724 0.6566 0.2606
In6 In 0.1724 0.6566 0.7394
```

Values from the calculation:
energy relative to the elements = -0.311 eV per atom
SG = P2/m (10)
raw total energy = -2.859 eV per atom

No. 2
A plane-wave DFT calculation with GGA-PBE was carried out for LiHo4In after structural relaxation.

Cell and atoms, written as CIF:
```
data_LiHo4In
_cell_length_a 5.0201
_cell_length_b 5.0202
_cell_length_c 7.4840
_cell_angle_alpha 89.98
_cell_angle_beta 89.99
_cell_angle_gamma 90.00
_space_group_name_H-M_alt 'P 1'
_space_group_IT_number 1
_space_group_name_Hall 'P 1'
loop_
_atom_site_label
_atom_site_type_symbol
_atom_site_fract_x
_atom_site_fract_y
_atom_site_fract_z
Li1 Li 0.0012 0.9974 0.4983
Ho1 Ho 0.5013 0.9971 0.2522
Ho2 Ho 0.5014 0.9974 0.7440
Ho3 Ho 0.0014 0.4974 0.7440
Ho4 Ho 0.0012 0.4971 0.2522
In1 In 0.5012 0.4974 0.9981
```

Values from the calculation:
energy relative to the elements = 0.221 eV per atom
SG = P4/mmm (123)
raw total energy = -3.606 eV per atom

No. 3
A plane-wave DFT calculation with GGA-PBE was carried out for LiHo2In after structural relaxation.

Cell and atoms, written as CIF:
```
data_LiHo2In
_cell_length_a 5.2474
_cell_length_b 5.2473
_cell_length_c 5.2473
_cell_angle_alpha 60.00
_cell_angle_beta 60.00
_cell_angle_gamma 60.00
_space_group_name_H-M_alt 'P 1'
_space_group_IT_number 1
_space_group_name_Hall 'P 1'
loop_
_atom_site_label
_atom_site_type_symbol
_atom_site_fract_x
_atom_site_fract_y
_atom_site_fract_z
Li1 Li 0.7500 0.7500 0.7500
Ho1 Ho 0.0000 0.0000 0.0000
Ho2 Ho 0.5000 0.5000 0.5000
In1 In 0.2500 0.2500 0.2500
```

Values from the calculation:
energy relative to the elements = -0.259 eV per atom
SG = Fm-3m (225)
raw total energy = -3.711 eV per atom

No. 4
A plane-wave DFT calculation with GGA-PBE was carried out for LiHo8In2 after structural relaxation.

Cell and atoms, written as CIF:
```
data_LiHo8In2
_cell_length_a 5.2299
_cell_length_b 6.8766
_cell_length_c 9.2599
_cell_angle_alpha 101.46
_cell_angle_beta 106.40
_cell_angle_gamma 90.00
_space_group_name_H-M_alt 'P 1'
_space_group_IT_number 1
_space_group_name_Hall 'P 1'
loop_
_atom_site_label
_atom_site_type_symbol
_atom_site_fract_x
_atom_site_fract_y
_atom_site_fract_z
Li1 Li 0.5000 0.0000 0.0000
Ho1 Ho 0.4057 0.5445 0.8114
Ho2 Ho 0.6559 0.9476 0.3119
Ho3 Ho 0.8111 0.7345 0.6222
Ho4 Ho 0.9776 0.2389 0.9551
Ho5 Ho 0.1889 0.2655 0.3778
Ho6 Ho 0.3441 0.0524 0.6881
Ho7 Ho 0.5943 0.4555 0.1886
Ho8 Ho 0.0224 0.7611 0.0449
In1 In 0.8019 0.2784 0.6038
In2 In 0.1981 0.7216 0.3962
```

Values from the calculation:
energy relative to the elements = -0.118 eV per atom
SG = C2/m (12)
raw total energy = -4.119 eV per atom

No. 5
A plane-wave DFT calculation with GGA-PBE was carried out for LiHo3In3 after structural relaxation.

Cell and atoms, written as CIF:
```
data_LiHo3In3
_cell_length_a 4.6393
_cell_length_b 6.0755
_cell_length_c 14.2841
_cell_angle_alpha 83.26
_cell_angle_beta 80.65
_cell_angle_gamma 67.55
_space_group_name_H-M_alt 'P 1'
_space_group_IT_number 1
_space_group_name_Hall 'P 1'
loop_
_atom_site_label
_atom_site_type_symbol
_atom_site_fract_x
_atom_site_fract_y
_atom_site_fract_z
Li1 Li 0.7579 0.0862 0.3979
Li2 Li 0.2421 0.9138 0.6021
Ho1 Ho 0.5385 0.3081 0.6149
Ho2 Ho 0.4615 0.6919 0.3851
Ho3 Ho 0.2638 0.2524 0.2200
Ho4 Ho 0.7362 0.7476 0.7800
Ho5 Ho 0.4050 0.2720 0.9180
Ho6 Ho 0.5950 0.7280 0.0820
In1 In 0.8652 0.7159 0.5538
In2 In 0.1348 0.2841 0.4462
In3 In 0.1222 0.8282 0.9274
In4 In 0.8778 0.1718 0.0726
In5 In 0.9722 0.8180 0.2375
In6 In 0.0278 0.1820 0.7625
```

Values from the calculation:
energy relative to the elements = -0.358 eV per atom
SG = C2/m (12)
raw total energy = -3.767 eV per atom

No. 6
A plane-wave DFT calculation with GGA-PBE was carried out for LiHoIn6 after structural relaxation.

Cell and atoms, written as CIF:
```
data_LiHoIn6
_cell_length_a 4.6998
_cell_length_b 6.4489
_cell_length_c 6.4489
_cell_angle_alpha 89.96
_cell_angle_beta 90.00
_cell_angle_gamma 90.00
_space_group_name_H-M_alt 'P 1'
_space_group_IT_number 1
_space_group_name_Hall 'P 1'
loop_
_atom_site_label
_atom_site_type_symbol
_atom_site_fract_x
_atom_site_fract_y
_atom_site_fract_z
Li1 Li 0.5000 0.5000 0.5000
Ho1 Ho 0.5000 0.0000 0.0000
In1 In 0.0000 0.7460 0.2540
In2 In 0.0000 0.2540 0.7460
In3 In 0.0000 0.7468 0.7468
In4 In 0.0000 0.2532 0.2532
In5 In 0.5000 0.5000 0.0000
In6 In 0.5000 0.0000 0.5000
```

Values from the calculation:
energy relative to the elements = -0.245 eV per atom
SG = P4/mmm (123)
raw total energy = -3.110 eV per atom

No. 7
A plane-wave DFT calculation with GGA-PBE was carried out for LiHo2MgIn4 after structural relaxation.

Cell and atoms, written as CIF:
```
data_LiHo2MgIn4
_cell_length_a 5.1640
_cell_length_b 5.1640
_cell_length_c 8.9112
_cell_angle_alpha 73.16
_cell_angle_beta 73.16
_cell_angle_gamma 60.00
_space_group_name_H-M_alt 'P 1'
_space_group_IT_number 1
_space_group_name_Hall 'P 1'
loop_
_atom_site_label
_atom_site_type_symbol
_atom_site_fract_x
_atom_site_fract_y
_atom_site_fract_z
Li1 Li 0.5000 0.5000 0.5000
Ho1 Ho 0.7476 0.7476 0.7572
Ho2 Ho 0.2524 0.2524 0.2428
Mg1 Mg 0.0000 0.0000 0.0000
In1 In 0.3781 0.3781 0.8657
In2 In 0.8724 0.8724 0.3828
In3 In 0.1276 0.1276 0.6172
In4 In 0.6219 0.6219 0.1343
```

Values from the calculation:
energy relative to the elements = -0.325 eV per atom
SG = R-3m (166)
raw total energy = -3.277 eV per atom

No. 8
A plane-wave DFT calculation with GGA-PBE was carried out for Li2HoMgIn2 after structural relaxation.

Cell and atoms, written as CIF:
```
data_Li2HoMgIn2
_cell_length_a 4.8258
_cell_length_b 4.8258
_cell_length_c 6.5670
_cell_angle_alpha 90.00
_cell_angle_beta 90.00
_cell_angle_gamma 120.00
_space_group_name_H-M_alt 'P 1'
_space_group_IT_number 1
_space_group_name_Hall 'P 1'
loop_
_atom_site_label
_atom_site_type_symbol
_atom_site_fract_x
_atom_site_fract_y
_atom_site_fract_z
Li1 Li 0.3333 0.6667 0.7967
Li2 Li 0.6667 0.3333 0.2033
Ho1 Ho 0.0000 0.0000 0.5000
Mg1 Mg 0.0000 0.0000 0.0000
In1 In 0.3333 0.6667 0.2661
In2 In 0.6667 0.3333 0.7339
```

Values from the calculation:
energy relative to the elements = -0.297 eV per atom
SG = P-3m1 (164)
raw total energy = -2.876 eV per atom

No. 9
A plane-wave DFT calculation with GGA-PBE was carried out for LiHoMgIn after structural relaxation.

Cell and atoms, written as CIF:
```
data_LiHoMgIn
_cell_length_a 5.0464
_cell_length_b 5.0464
_cell_length_c 5.0464
_cell_angle_alpha 60.00
_cell_angle_beta 60.00
_cell_angle_gamma 60.00
_space_group_name_H-M_alt 'P 1'
_space_group_IT_number 1
_space_group_name_Hall 'P 1'
loop_
_atom_site_label
_atom_site_type_symbol
_atom_site_fract_x
_atom_site_fract_y
_atom_site_fract_z
Mg1 Mg 0.2500 0.2500 0.2500
Li1 Li 0.0000 0.0000 0.0000
Ho1 Ho 0.7500 0.7500 0.7500
In1 In 0.5000 0.5000 0.5000
```

Values from the calculation:
energy relative to the elements = -0.252 eV per atom
SG = F-43m (216)
raw total energy = -2.958 eV per atom

No. 10
A plane-wave DFT calculation with GGA-PBE was carried out for LiHoMnIn after structural relaxation.

Cell and atoms, written as CIF:
```
data_LiHoMnIn
_cell_length_a 4.8273
_cell_length_b 4.8273
_cell_length_c 4.8273
_cell_angle_alpha 60.00
_cell_angle_beta 60.00
_cell_angle_gamma 60.00
_space_group_name_H-M_alt 'P 1'
_space_group_IT_number 1
_space_group_name_Hall 'P 1'
loop_
_atom_site_label
_atom_site_type_symbol
_atom_site_fract_x
_atom_site_fract_y
_atom_site_fract_z
Mn1 Mn 0.5000 0.5000 0.5000
Li1 Li 0.0000 0.0000 0.0000
Ho1 Ho 0.7500 0.7500 0.7500
In1 In 0.2500 0.2500 0.2500
```

Values from the calculation:
energy relative to the elements = -0.078 eV per atom
SG = F-43m (216)
raw total energy = -4.678 eV per atom

No. 11
A plane-wave DFT calculation with GGA-PBE was carried out for LiNdHo2In4 after structural relaxation.

Cell and atoms, written as CIF:
```
data_LiNdHo2In4
_cell_length_a 5.2304
_cell_length_b 5.2304
_cell_length_c 9.2923
_cell_angle_alpha 73.65
_cell_angle_beta 73.65
_cell_angle_gamma 60.00
_space_group_name_H-M_alt 'P 1'
_space_group_IT_number 1
_space_group_name_Hall 'P 1'
loop_
_atom_site_label
_atom_site_type_symbol
_atom_site_fract_x
_atom_site_fract_y
_atom_site_fract_z
Li1 Li 0.5000 0.5000 0.5000
Nd1 Nd 0.0000 0.0000 0.0000
Ho1 Ho 0.7539 0.7539 0.7384
Ho2 Ho 0.2461 0.2461 0.2616
In1 In 0.3791 0.3791 0.8627
In2 In 0.8723 0.8723 0.3832
In3 In 0.1277 0.1277 0.6168
In4 In 0.6209 0.6209 0.1373
```

Values from the calculation:
energy relative to the elements = -0.411 eV per atom
SG = R-3m (166)
raw total energy = -3.760 eV per atom

No. 12
A plane-wave DFT calculation with GGA-PBE was carried out for LiNdHoIn after structural relaxation.

Cell and atoms, written as CIF:
```
data_LiNdHoIn
_cell_length_a 5.3492
_cell_length_b 5.3492
_cell_length_c 5.3492
_cell_angle_alpha 60.00
_cell_angle_beta 60.00
_cell_angle_gamma 60.00
_space_group_name_H-M_alt 'P 1'
_space_group_IT_number 1
_space_group_name_Hall 'P 1'
loop_
_atom_site_label
_atom_site_type_symbol
_atom_site_fract_x
_atom_site_fract_y
_atom_site_fract_z
Li1 Li 0.0000 0.0000 0.0000
Nd1 Nd 0.2500 0.2500 0.2500
Ho1 Ho 0.7500 0.7500 0.7500
In1 In 0.5000 0.5000 0.5000
```

Values from the calculation:
energy relative to the elements = -0.260 eV per atom
SG = F-43m (216)
raw total energy = -3.759 eV per atom

| no. | total magnetization (μB per atom) |
| --- | --- |
| 1 | 0.000 |
| 2 | 0.000 |
| 3 | 0.000 |
| 4 | 0.000 |
| 5 | 0.000 |
| 6 | 0.000 |
| 7 | 0.000 |
| 8 | 0.000 |
| 9 | 0.000 |
| 10 | 0.989 |
| 11 | 0.000 |
| 12 | 0.000 |